1.
TbDy2Pt9 | PBE-GGA | optimized geometry

Lattice parameters (Å, degrees): 4.1222 4.1222 12.3659 90.00 90.00 90.00
Last column: nearest neighbours and their distance in Å.
Positions (direct):
Tb 0.0000 0.0000 0.0000  12 Pt 2.91-2.92
Dy 0.0000 0.0000 0.3336  12 Pt 2.91
Dy 0.0000 0.0000 0.6664  12 Pt 2.91
Pt 0.0000 0.5000 0.1674  2 Dy 2.91, 8 Pt 2.91-2.92, 2 Tb 2.92
Pt 0.0000 0.5000 0.5000  8 Pt 2.91, 4 Dy 2.91
Pt 0.0000 0.5000 0.8326  2 Dy 2.91, 8 Pt 2.91-2.92, 2 Tb 2.92
Pt 0.5000 0.0000 0.1674  2 Dy 2.91, 8 Pt 2.91-2.92, 2 Tb 2.92
Pt 0.5000 0.0000 0.5000  8 Pt 2.91, 4 Dy 2.91
Pt 0.5000 0.0000 0.8326  2 Dy 2.91, 8 Pt 2.91-2.92, 2 Tb 2.92
Pt 0.5000 0.5000 0.0000  4 Tb 2.91, 8 Pt 2.92
Pt 0.5000 0.5000 0.3337  8 Pt 2.91, 4 Dy 2.91
Pt 0.5000 0.5000 0.6663  8 Pt 2.91, 4 Dy 2.91

Its magnetization is 0.00 μB/f.u. For the uncorrected energy, the calculation gives -6.715 eV/atom.

---

2.
TbDy2Pt | PBE-GGA | optimized geometry

Lattice parameters (Å, degrees): 7.0525 9.6034 6.5011 90.00 90.00 90.00
Last column: nearest neighbours and their distance in Å.
Positions (direct):
Tb 0.0257 0.2500 0.1324  2 Pt 2.82-2.91
Tb 0.4743 0.7500 0.6324  2 Pt 2.82-2.91
Tb 0.5257 0.2500 0.3676  2 Pt 2.82-2.91
Tb 0.9743 0.7500 0.8676  2 Pt 2.82-2.91
Dy 0.1797 0.0611 0.6773  2 Pt 2.86-2.91
Dy 0.1797 0.4389 0.6773  2 Pt 2.86-2.91
Dy 0.3203 0.5611 0.1773  2 Pt 2.86-2.91
Dy 0.3203 0.9389 0.1773  2 Pt 2.86-2.91
Dy 0.6797 0.0611 0.8227  2 Pt 2.86-2.91
Dy 0.6797 0.4389 0.8227  2 Pt 2.86-2.91
Dy 0.8203 0.5611 0.3227  2 Pt 2.86-2.91
Dy 0.8203 0.9389 0.3227  2 Pt 2.86-2.91
Pt 0.1128 0.7500 0.4459  2 Tb 2.82-2.91, 4 Dy 2.86-2.91
Pt 0.3872 0.2500 0.9459  2 Tb 2.82-2.91, 4 Dy 2.86-2.91
Pt 0.6128 0.7500 0.0541  2 Tb 2.82-2.91, 4 Dy 2.86-2.91
Pt 0.8872 0.2500 0.5541  2 Tb 2.82-2.91, 4 Dy 2.86-2.91

The polymorph energy (0 for the lowest one) comes out at 0 meV/atom. Its magnetization is 0.00 μB/f.u.

---

3.
Tb3DyPt8 | PBE-GGA | optimized geometry

Lattice parameters (Å, degrees): 5.4592 5.4592 8.8882 90.00 90.00 120.00
Last column: nearest neighbours and their distance in Å.
Positions (direct):
Tb 0.0000 0.0000 0.0000  12 Pt 3.19-3.21, 4 Tb 3.29-3.36
Tb 0.0000 0.0000 0.3702  12 Pt 3.19-3.20, 1 Tb 3.29, 3 Dy 3.35
Tb 0.3333 0.6667 0.8688  12 Pt 3.18-3.21, 1 Dy 3.28, 3 Tb 3.36
Dy 0.3333 0.6667 0.4993  12 Pt 3.19-3.20, 4 Tb 3.28-3.35
Pt 0.0050 0.5025 0.1849  6 Pt 2.69-2.77
Pt 0.3285 0.1642 0.6844  6 Pt 2.69-2.77
Pt 0.4975 0.5025 0.1849  6 Pt 2.69-2.77
Pt 0.4975 0.9950 0.1849  6 Pt 2.69-2.77
Pt 0.6667 0.3333 0.4347  6 Pt 2.74
Pt 0.6667 0.3333 0.9348  6 Pt 2.74
Pt 0.8358 0.1642 0.6844  6 Pt 2.69-2.77
Pt 0.8358 0.6715 0.6844  6 Pt 2.69-2.77

Its magnetization is 0.00 μB/f.u. For the uncorrected energy, the calculation gives -6.638 eV/atom.

---

V (Å³ per cell)
210 440 229